(w)
First-principles (PBE) data for an optimized crystal structure of Y8InCo2, as listed in the Alexandria database.

M_tot = 0.00 μB per formula unit

Unit cell a=5.288 b=7.937 c=7.937 alpha=113.28 beta=97.10 gamma=97.10
Fractional coordinates of all 11 atoms:
Y (0.500, 0.251, 0.749)
Y (0.302, 0.614, 0.614)
Co (0.000, 0.692, 0.308)
In (0.500, 0.000, 0.000)
Y (0.928, 0.933, 0.670)
Y (0.500, 0.749, 0.251)
Y (0.698, 0.386, 0.386)
Y (0.928, 0.670, 0.933)
Co (0.000, 0.308, 0.692)
Y (0.072, 0.330, 0.067)
Y (0.072, 0.067, 0.330)

***

(x)
First-principles (PBE) data for an optimized crystal structure of Y8InCo2, as listed in the Alexandria database.

M_tot = 0.95 μB per formula unit

Unit cell a=5.119 b=5.119 c=11.536 alpha=90.00 beta=90.00 gamma=90.00
Fractional coordinates of all 11 atoms:
Co (0.000, 0.000, 0.309)
Y (0.500, 0.500, 0.656)
Y (0.000, 0.500, 0.164)
Y (0.500, 0.000, 0.500)
In (0.000, 0.000, 0.000)
Y (0.500, 0.000, 0.164)
Y (0.500, 0.000, 0.836)
Y (0.500, 0.500, 0.344)
Y (0.000, 0.500, 0.500)
Y (0.000, 0.500, 0.836)
Co (0.000, 0.000, 0.691)

***

Which one is most stable, and which one is least stable? (w) is the most stable of them, while (x) is the least stable.

***

(w)
First-principles (PBE) data for an optimized crystal structure of Y3InCo, as listed in the Alexandria database.

M_tot = 0.00 μB per formula unit

Unit cell a=5.163 b=5.163 c=5.163 alpha=90.00 beta=90.00 gamma=90.00
Fractional coordinates of all 5 atoms:
Y (0.000, 0.000, 0.500)
Y (0.000, 0.500, 0.000)
Co (0.000, 0.000, 0.000)
Y (0.500, 0.000, 0.000)
In (0.500, 0.500, 0.500)

***

(x)
First-principles (PBE) data for an optimized crystal structure of Y3InCo, as listed in the Alexandria database.

M_tot = 0.00 μB per formula unit

Unit cell a=5.491 b=6.390 c=8.896 alpha=114.25 beta=84.16 gamma=114.33
Fractional coordinates of all 10 atoms:
Co (0.049, 0.323, 0.981)
In (0.605, 0.233, 0.471)
Y (0.873, 0.652, 0.316)
Y (0.127, 0.348, 0.684)
Y (0.472, 0.785, 0.112)
Co (0.951, 0.677, 0.019)
Y (0.133, 0.200, 0.221)
Y (0.867, 0.800, 0.779)
Y (0.528, 0.215, 0.888)
In (0.395, 0.767, 0.529)

***

Which one is most stable, and which one is least stable? (x) is the most stable of them, while (w) is the least stable.

***

(w)
First-principles (PBE) data for an optimized crystal structure of Y6In3Co, as listed in the Alexandria database.

M_tot = 0.74 μB per formula unit

Unit cell a=5.281 b=9.227 c=11.464 alpha=109.16 beta=90.00 gamma=90.00
Fractional coordinates of all 20 atoms:
Y (0.750, 0.149, 0.667)
Y (0.750, 0.541, 0.916)
Y (0.250, 0.459, 0.084)
Y (0.750, 0.308, 0.333)
Y (0.750, 0.892, 0.154)
In (0.750, 0.488, 0.621)
Co (0.750, 0.038, 0.408)
Y (0.250, 0.108, 0.846)
In (0.250, 0.512, 0.379)
In (0.250, 0.773, 0.977)
In (0.250, 0.406, 0.779)
Y (0.250, 0.126, 0.151)
Y (0.250, 0.692, 0.667)
In (0.750, 0.594, 0.221)
Y (0.750, 0.874, 0.849)
Y (0.250, 0.219, 0.495)
In (0.750, 0.227, 0.023)
Y (0.750, 0.781, 0.505)
Co (0.250, 0.962, 0.592)
Y (0.250, 0.851, 0.333)

***

(x)
First-principles (PBE) data for an optimized crystal structure of Y6In3Co, as listed in the Alexandria database.

M_tot = 0.00 μB per formula unit

Unit cell a=5.983 b=8.869 c=10.585 alpha=90.00 beta=87.88 gamma=90.00
Fractional coordinates of all 20 atoms:
Y (0.611, 0.158, 0.942)
Y (0.620, 0.451, 0.276)
In (0.500, 0.500, 0.000)
Y (0.419, 0.802, 0.435)
Y (0.919, 0.698, 0.935)
Y (0.581, 0.198, 0.565)
Co (0.500, 0.500, 0.500)
Co (0.000, 0.000, 0.000)
Y (0.889, 0.658, 0.558)
In (0.000, 0.000, 0.500)
In (0.098, 0.614, 0.238)
In (0.902, 0.386, 0.762)
Y (0.081, 0.302, 0.065)
Y (0.111, 0.342, 0.442)
Y (0.120, 0.049, 0.776)
Y (0.880, 0.951, 0.224)
Y (0.380, 0.549, 0.724)
In (0.598, 0.886, 0.738)
Y (0.389, 0.842, 0.058)
In (0.402, 0.114, 0.262)

***

Which one is most stable, and which one is least stable? (w) is the most stable of them, while (x) is the least stable.

***

(w)
First-principles (PBE) data for an optimized crystal structure of Zn2InCo2, as listed in the Alexandria database.

M_tot = 1.79 μB per formula unit

Unit cell a=6.668 b=6.668 c=3.287 alpha=90.00 beta=90.00 gamma=90.00
Fractional coordinates of all 10 atoms:
Co (0.630, 0.130, 0.000)
In (0.500, 0.500, 0.000)
Co (0.870, 0.630, 0.000)
Zn (0.341, 0.159, 0.500)
Zn (0.659, 0.841, 0.500)
Co (0.130, 0.370, 0.000)
Zn (0.159, 0.659, 0.500)
Zn (0.841, 0.341, 0.500)
In (0.000, 0.000, 0.000)
Co (0.370, 0.870, 0.000)

***

(x)
First-principles (PBE) data for an optimized crystal structure of Zn2InCo2, as listed in the Alexandria database.

M_tot = 3.12 μB per formula unit

Unit cell a=3.474 b=3.474 c=7.152 alpha=75.94 beta=75.94 gamma=90.00
Fractional coordinates of all 5 atoms:
Co (0.750, 0.250, 0.500)
Zn (0.614, 0.614, 0.773)
In (0.000, 0.000, 0.000)
Zn (0.386, 0.386, 0.227)
Co (0.250, 0.750, 0.500)

***

Which one is most stable, and which one is least stable? (w) is the most stable of them, while (x) is the least stable.